Entry 1:
## Pu3PtAu (PBE)

Data for a relaxed Pu3PtAu crystal.

Cell lengths 7.075, 7.075, 7.075 Å; angles 90.00, 90.00, 90.00 degrees
Last column: magnetic moment on the atom in μB.
Positions (direct):
Pu  0.500  0.500  0.500  -4.94
Pu  0.238  0.238  0.238  5.33
Pu  0.762  0.762  0.238  5.33
Pu  0.762  0.238  0.762  5.33
Pu  0.238  0.762  0.762  5.33
Pu  0.238  0.238  0.762  5.33
Pu  0.762  0.762  0.762  5.33
Pu  0.238  0.762  0.238  5.33
Pu  0.762  0.238  0.238  5.33
Pt  0.500  0.000  0.000  -0.09
Pt  0.000  0.500  0.000  -0.09
Pt  0.000  0.000  0.500  -0.09
Au  0.000  0.500  0.500  0.04
Au  0.500  0.000  0.500  0.04
Au  0.500  0.500  0.000  0.04

Calculated values
* uncorrected energy: -162.33 eV for the cell shown
* energy above the lowest structure with this stoichiometry: 22 meV/atom
* ρ: 15.81 g cm⁻³
* space group: Pm-3m (221)
* magnetic moment: 13.2 μB/f.u.
* E_form: -0.359 eV/atom

Entry 2:
## Nd2MgF (PBE)

Data for a relaxed Nd2MgF crystal.

Cell lengths 3.377, 3.377, 10.655 Å; angles 80.88, 80.88, 60.00 degrees
Positions (direct):
Mg  0.000  0.000  0.000
Nd  0.106  0.106  0.682
Nd  0.894  0.894  0.318
F  0.500  0.500  0.500

Calculated values
* uncorrected energy: -16.52 eV for the cell shown
* ρ: 5.33 g cm⁻³
* formation energy (no corrections): -339 kJ/mol of formula units
* space group: R-3m (166)
* magnetic moment: 0.0 μB/f.u.

Entry 3:
## K2AsAuSe4 (PBE)

Data for a relaxed K2AsAuSe4 crystal.

Cell lengths 6.740, 7.290, 12.765 Å; angles 82.99, 74.69, 62.46 degrees
Positions (direct):
K  0.186  0.000  0.628
K  0.814  0.000  0.372
K  0.564  0.500  0.872
K  0.936  0.500  0.128
As  0.250  0.500  0.500
As  0.500  0.000  0.000
Au  0.750  0.500  0.500
Au  0.000  0.000  0.000
Se  0.343  0.786  0.105
Se  0.235  0.214  0.895
Se  0.870  0.786  0.895
Se  0.552  0.214  0.105
Se  0.407  0.714  0.395
Se  0.515  0.286  0.605
Se  0.880  0.714  0.605
Se  0.198  0.286  0.395

Calculated values
* uncorrected energy: -55.25 eV for the cell shown
* ρ: 4.12 g cm⁻³
* formation energy (no corrections): -344 kJ/mol of formula units
* space group: Fddd (70)
* magnetic moment: 0.0 μB/f.u.

Entry 4:
## PrDyEr5Tm2 (PBE)

Data for a relaxed PrDyEr5Tm2 crystal.

Cell lengths 5.564, 10.237, 10.467 Å; angles 90.00, 90.00, 105.77 degrees
Positions (direct):
Pr  0.584  0.167  0.949
Pr  0.416  0.833  0.449
Dy  0.800  0.601  0.513
Dy  0.200  0.399  0.013
Er  0.388  0.775  0.023
Er  0.719  0.439  0.813
Er  0.478  0.956  0.736
Er  0.299  0.597  0.710
Er  0.983  0.965  0.525
Er  0.612  0.225  0.523
Er  0.281  0.561  0.313
Er  0.522  0.044  0.236
Er  0.701  0.403  0.210
Er  0.017  0.035  0.025
Tm  0.887  0.774  0.819
Tm  0.111  0.222  0.735
Tm  0.113  0.226  0.319
Tm  0.889  0.778  0.235

Calculated values
* uncorrected energy: -79.24 eV for the cell shown
* ρ: 8.55 g cm⁻³
* space group: Cmc2_1 (36)
* magnetic moment: 0.0 μB/f.u.
* E_form: 0.169 eV/atom

Entry 5:
## K4Pr3RuO8 (PBE)

Data for a relaxed K4Pr3RuO8 crystal.

Cell lengths 7.084, 7.495, 7.084 Å; angles 118.21, 120.00, 90.00 degrees
Last column: magnetic moment on the atom in μB.
Positions (direct):
K  0.500  0.000  0.000  0.00
K  0.500  0.000  0.500  0.00
K  0.000  0.000  0.000  0.00
K  0.000  0.000  0.500  0.00
Pr  0.500  0.500  0.000  0.00
Pr  0.500  0.500  0.500  0.00
Pr  0.000  0.500  0.500  0.00
Ru  0.000  0.500  0.000  0.79
O  0.219  0.690  0.972  0.03
O  0.219  0.690  0.438  0.03
O  0.268  0.303  0.535  0.00
O  0.753  0.690  0.972  0.03
O  0.247  0.310  0.028  0.03
O  0.732  0.697  0.465  0.00
O  0.781  0.310  0.562  0.03
O  0.781  0.310  0.028  0.03

Calculated values
* uncorrected energy: -100.97 eV for the cell shown
* ρ: 4.92 g cm⁻³
* formation energy (no corrections): -3213 kJ/mol of formula units
* space group: R-3m (166)
* magnetic moment: 1.0 μB/f.u.

Entry 6:
## Rb2Bi (PBE)

Data for a relaxed Rb2Bi crystal.

Cell lengths 4.825, 7.873, 10.697 Å; angles 68.55, 76.97, 72.16 degrees
Positions (direct):
Rb  0.181  0.295  0.342
Rb  0.496  0.195  0.814
Rb  0.504  0.805  0.186
Rb  0.819  0.705  0.658
Bi  0.799  0.359  0.043
Bi  0.201  0.641  0.957

Calculated values
* uncorrected energy: -12.88 eV for the cell shown
* energy above the lowest structure with this stoichiometry: 5 meV/atom
* ρ: 3.53 g cm⁻³
* space group: C2/m (12)
* magnetic moment: 0.0 μB/f.u.
* E_form: -0.208 eV/atom

Entry 7:
## MgReTcIr2 (PBE)

Data for a relaxed MgReTcIr2 crystal.

Cell lengths 4.336, 4.502, 4.336 Å; angles 90.00, 90.00, 90.00 degrees
Positions (direct):
Re  0.000  0.500  0.000
Mg  0.000  0.000  0.000
Ir  0.000  0.000  0.500
Ir  0.500  0.000  0.000
Tc  0.500  0.500  0.500

Calculated values
* uncorrected energy: -32.13 eV for the cell shown
* ρ: 13.59 g cm⁻³
* space group: P4/mmm (123)
* magnetic moment: 0.0 μB/f.u.
* E_form: 1.999 eV/atom

Entry 8:
## ZrC (PBE)

Data for a relaxed ZrC crystal.

Cell lengths 5.780, 5.780, 3.102 Å; angles 90.00, 90.00, 120.00 degrees
Positions (direct):
Zr  0.000  0.371  0.000
Zr  0.629  0.629  0.000
Zr  0.371  0.000  0.000
C  0.000  0.000  0.000
C  0.667  0.333  0.500
C  0.333  0.667  0.500

Calculated values
* uncorrected energy: -53.34 eV for the cell shown
* energy above the lowest structure with this stoichiometry: 804 meV/atom
* ρ: 5.73 g cm⁻³
* space group: P-62m (189)
* magnetic moment: 0.0 μB/f.u.
* E_form: -0.003 eV/atom